First-principles (GGA+U) data for a relaxed structure of Ca2CoRhO6, as listed in Alexandria via LeMat-Bulk.

Calculated values
E = -6.16 eV/atom
Size of the total moment = 10.05 μB per cell

Cell and atoms, written as POSCAR:
```
Ca2CoRhO6
1.0
4.677 4.552 -0.014
-4.677 4.552 -0.014
0.000 0.570 6.305
Ca Co Rh O
4 2 2 12
direct
0.120 0.880 0.500
0.737 0.617 0.861
0.879 0.121 0.000
0.383 0.263 0.139
0.749 0.251 0.500
0.235 0.765 0.000
0.506 0.003 0.745
0.997 0.494 0.255
0.538 0.941 0.045
0.925 0.547 0.543
0.618 0.295 0.781
0.205 0.018 0.855
0.705 0.382 0.219
0.982 0.795 0.145
0.806 0.965 0.675
0.059 0.462 0.955
0.453 0.075 0.457
0.398 0.710 0.759
0.035 0.194 0.325
0.290 0.602 0.241
```